[1]
# GGA+U Nd2CrNiO6, optimized geometry
# **E**: -7.376 eV/atom
data_Nd2CrNiO6
_cell_length_a 5.438
_cell_length_b 5.667
_cell_length_c 9.443
_cell_angle_alpha 90.00
_cell_angle_beta 125.03
_cell_angle_gamma 90.00
_symmetry_space_group_name_H-M 'P 1 21/c 1'
_symmetry_Int_Tables_number 14
_symmetry_space_group_name_Hall '-P 2ybc'
loop_
_atom_site_label
_atom_site_type_symbol
_atom_site_fract_x
_atom_site_fract_y
_atom_site_fract_z
Nd1 Nd 0.235 0.058 0.250
Cr1 Cr 0.500 0.000 0.000
Ni1 Ni 0.000 0.000 0.500
O1 O 0.167 0.196 0.953
O2 O 0.259 0.713 0.952
O3 O 0.349 0.027 0.760

=====

[2]
# GGA+U Sr2Nd2CrNiO8, optimized geometry
# **E**: -6.950 eV/atom
data_Sr2Nd2CrNiO8
_cell_length_a 5.459
_cell_length_b 5.421
_cell_length_c 12.544
_cell_angle_alpha 90.00
_cell_angle_beta 90.00
_cell_angle_gamma 90.00
_symmetry_space_group_name_H-M 'A m m 2'
_symmetry_Int_Tables_number 38
_symmetry_space_group_name_Hall 'A 2 -2'
loop_
_atom_site_label
_atom_site_type_symbol
_atom_site_fract_x
_atom_site_fract_y
_atom_site_fract_z
Sr1 Sr 0.000 0.000 0.000
Sr2 Sr 0.500 0.000 0.208
Nd1 Nd 0.000 0.000 0.716
Nd2 Nd 0.500 0.000 0.492
Cr1 Cr 0.000 0.000 0.352
Ni1 Ni 0.500 0.000 0.855
O1 O 0.000 0.000 0.195
O2 O 0.000 0.000 0.528
O3 O 0.241 0.244 0.354
O4 O 0.500 0.000 0.019
O5 O 0.500 0.000 0.675

=====

> Which of these has the lowest E?

Nd2CrNiO6

=====

> Which formula does entry 1 have?

Nd2CrNiO6